A relaxed Mg2HgMo crystal, computed with GGA-PBEsol.

Cell: 10.0020 2.8936 5.1644 Å, 90.00 101.09 90.00°
Closest atoms and distances in Å follow each position.
Space group Cm (No. 8)
Unique sites:
Mg  0.0000  0.0000  0.0000 x2  5 Mg 2.89-3.06, 3 Hg 2.94-3.12, 4 Mo 2.95-2.97
Mg  0.2399  0.0000  0.7348 x2  4 Hg 2.84-3.08, 5 Mg 2.89-3.06, 3 Mo 2.93-3.00
Hg  0.2441  0.5000  0.2633 x2  7 Mg 2.84-3.12, 2 Hg 2.89, 3 Mo 2.93-3.01
Mo  0.4920  0.0000  0.4994 x2  2 Mo 2.89, 7 Mg 2.93-3.00, 3 Hg 2.93-3.01

Values from the calculation:
As for the total energy: -3.649 eV/atom. The calculation puts the magnetic moment at 0.000 Bohr magnetons per cell. The value obtained for the calculated density is 7.81 g/cm³. The calculation puts the formation energy from the elements at 293 meV per atom.

A relaxed Mg2HgMo crystal, computed with GGA-PBEsol.

Cell: 6.6791 6.6791 6.6791 Å, 90.00 90.00 90.00°
Closest atoms and distances in Å follow each position.
Space group F-43m (No. 216)
Unique sites:
Mg  0.0000  0.0000  0.0000 x4  4 Mo 2.89, 4 Mg 2.89
Mg  0.2500  0.2500  0.2500 x4  4 Hg 2.89, 4 Mg 2.89
Hg  0.0000  0.0000  0.5000 x4  4 Mo 2.89, 4 Mg 2.89
Mo  0.2500  0.2500  0.7500 x4  4 Hg 2.89, 4 Mg 2.89

Values from the calculation:
As for the total energy: -3.534 eV/atom. The calculation puts the magnetic moment at 8.807 Bohr magnetons per cell. The value obtained for the calculated density is 7.69 g/cm³. The calculation puts the formation energy from the elements at 409 meV per atom.

A relaxed MgHg2Mo crystal, computed with GGA-PBEsol.

Cell: 3.5010 3.5010 6.1056 Å, 90.00 90.00 90.00°
Closest atoms and distances in Å follow each position.
Space group P4mm (No. 99)
Unique sites:
Mg  0.0000  0.0000  0.0000 x1  5 Hg 2.86-2.90, 4 Mo 2.89
Hg  0.0000  0.0000  0.4684 x1  4 Mo 2.82, 1 Mg 2.86, 4 Hg 3.03
Hg  0.5000  0.5000  0.7539 x1  4 Mg 2.90, 2 Mo 3.00-3.10, 4 Hg 3.03
Mo  0.5000  0.5000  0.2458 x1  6 Hg 2.82-3.10, 4 Mg 2.89

Values from the calculation:
As for the total energy: -3.261 eV/atom. The calculation puts the magnetic moment at 0.786 Bohr magnetons per cell. The value obtained for the calculated density is 11.57 g/cm³. The calculation puts the formation energy from the elements at 393 meV per atom.

A relaxed Mg2HgMo crystal, computed with GGA-PBEsol.

Cell: 3.0353 4.9590 9.6170 Å, 90.00 90.00 90.00°
Closest atoms and distances in Å follow each position.
Space group Immm (No. 71)
Unique sites:
Mg  0.0000  0.0000  0.2472 x4  2 Hg 2.82, 2 Mo 2.87, 6 Mg 2.91-3.04
Hg  0.0000  0.5000  0.5000 x2  4 Mg 2.82, 4 Mo 2.91, 2 Hg 3.04
Mo  0.0000  0.5000  0.0000 x2  4 Mg 2.87, 4 Hg 2.91, 2 Mo 3.04

Values from the calculation:
As for the total energy: -3.652 eV/atom. The calculation puts the magnetic moment at 0.001 Bohr magnetons per cell. The value obtained for the calculated density is 7.92 g/cm³. The calculation puts the formation energy from the elements at 290 meV per atom.

A relaxed MgHgMo2 crystal, computed with GGA-PBEsol.

Cell: 9.3560 2.7428 5.3017 Å, 90.00 94.13 90.00°
Closest atoms and distances in Å follow each position.
Space group Cm (No. 8)
Unique sites:
Mg  0.0000  0.0000  0.0000 x2  3 Hg 2.71-2.88, 2 Mg 2.74, 5 Mo 2.84-3.03
Hg  0.2514  0.0000  0.7766 x2  3 Mg 2.71-2.88, 2 Hg 2.74, 7 Mo 2.96-3.01
Mo  0.0113  0.5000  0.4805 x2  3 Mo 2.56-2.74
Mo  0.2529  0.5000  0.2820 x2  3 Mo 2.56-2.74, 1 Mg 2.84

Values from the calculation:
The relative energy among the computed polymorphs comes out at 52 meV per atom. As for the total energy: -6.083 eV/atom. The calculation puts the magnetic moment at 0.000 Bohr magnetons per cell. The value obtained for the calculated density is 10.20 g/cm³. The calculation puts the formation energy from the elements at 372 meV per atom.

A relaxed MgHgMo2 crystal, computed with GGA-PBEsol.

Cell: 3.8051 3.8051 9.1799 Å, 90.00 90.00 90.00°
Closest atoms and distances in Å follow each position.
Space group I4/mmm (No. 139)
Unique sites:
Mg  0.0000  0.0000  0.0000 x2  4 Hg 2.69, 8 Mo 2.98
Hg  0.0000  0.0000  0.5000 x2  4 Mg 2.69, 8 Mo 2.98
Mo  0.0000  0.5000  0.2500 x4  4 Mo 2.69, 4 Hg 2.98, 4 Mg 2.98

Values from the calculation:
The relative energy among the computed polymorphs comes out at 16 meV per atom. As for the total energy: -6.118 eV/atom. The calculation puts the magnetic moment at 0.001 Bohr magnetons per cell. The value obtained for the calculated density is 10.41 g/cm³. The calculation puts the formation energy from the elements at 337 meV per atom.

A relaxed MgHgMo2 crystal, computed with GGA-PBEsol.

Cell: 3.7994 3.7994 4.5937 Å, 90.00 90.00 90.00°
Closest atoms and distances in Å follow each position.
Space group P4/mmm (No. 123)
Unique sites:
Mg  0.0000  0.0000  0.0000 x1  4 Hg 2.69, 8 Mo 2.98
Hg  0.5000  0.5000  0.0000 x1  4 Mg 2.69, 8 Mo 2.98
Mo  0.0000  0.5000  0.5000 x2  4 Mo 2.69, 4 Hg 2.98, 4 Mg 2.98

Values from the calculation:
The relative energy among the computed polymorphs comes out at 0 meV per atom. As for the total energy: -6.135 eV/atom. The calculation puts the magnetic moment at 0.000 Bohr magnetons per cell. The value obtained for the calculated density is 10.44 g/cm³. The calculation puts the formation energy from the elements at 320 meV per atom.

A relaxed Mg2HgMo crystal, computed with GGA-PBEsol.

Cell: 3.0631 4.8024 9.9256 Å, 90.00 90.00 90.00°
Closest atoms and distances in Å follow each position.
Space group Imm2 (No. 44)
Unique sites:
Mg  0.0000  0.0000  0.0000 x2  4 Hg 2.85, 2 Mo 2.88, 4 Mg 3.06-3.07
Mg  0.0000  0.5000  0.2316 x2  4 Mo 2.85, 2 Hg 2.85, 4 Mg 3.06-3.07
Hg  0.0000  0.0000  0.4890 x2  6 Mg 2.85, 2 Mo 2.86, 2 Hg 3.06
Mo  0.0000  0.5000  0.7454 x2  6 Mg 2.85-2.88, 2 Hg 2.86, 2 Mo 3.06

Values from the calculation:
As for the total energy: -3.617 eV/atom. The calculation puts the magnetic moment at 0.001 Bohr magnetons per cell. The value obtained for the calculated density is 7.85 g/cm³. The calculation puts the formation energy from the elements at 325 meV per atom.

Question: Look up the calculated density of the fifth one.
Answer: 10.20 g/cm³

Question: Which formula does entry 5 have?
Answer: MgHgMo2